# 1
Material: Co3Te8Rh
Method: DFT, PBE-GGA
State: optimized geometry

Results
Raw formation energy = -2.94 eV/f.u.
Symmetry = No. 12
Total moment = 0.00 μB per formula unit

The structure in POSCAR format:
```
Co3Te8Rh
1.0
5.554 -3.827 0.000
5.554 3.827 0.000
-5.525 0.000 6.640
Co Te Rh
3 8 1
Direct
0.000 0.000 0.000
0.000 0.500 0.500
0.500 0.000 0.500
0.034 0.551 0.828
0.050 0.050 0.334
0.448 0.448 0.655
0.449 0.966 0.172
0.551 0.034 0.828
0.552 0.552 0.345
0.950 0.950 0.666
0.966 0.449 0.172
0.500 0.500 0.000
```

# 2
Material: Co4TeRh
Method: DFT, PBE-GGA
State: optimized geometry

Results
Raw formation energy = 1.70 eV/f.u.
Symmetry = No. 216
Total moment = 8.01 μB per formula unit

The structure in POSCAR format:
```
Co4TeRh
1.0
0.000 3.439 3.439
3.439 0.000 3.439
3.439 3.439 0.000
Co Te Rh
4 1 1
Direct
0.124 0.124 0.124
0.124 0.124 0.628
0.124 0.628 0.124
0.628 0.124 0.124
0.500 0.500 0.500
0.750 0.750 0.750
```

# 3
Material: CoTe6Rh
Method: DFT, PBE-GGA
State: optimized geometry

Results
Raw formation energy = -0.91 eV/f.u.
Symmetry = No. 12
Total moment = 0.00 μB per formula unit

The structure in POSCAR format:
```
CoTe6Rh
1.0
6.671 -4.770 0.000
6.671 4.770 0.000
-6.670 0.000 6.779
Co Te Rh
2 12 2
Direct
0.000 0.500 0.000
0.500 0.000 0.000
0.016 0.331 0.682
0.169 0.819 0.151
0.181 0.831 0.849
0.331 0.016 0.682
0.340 0.340 0.157
0.347 0.347 0.514
0.653 0.653 0.486
0.660 0.660 0.843
0.669 0.984 0.318
0.819 0.169 0.151
0.831 0.181 0.849
0.984 0.669 0.318
0.000 0.500 0.500
0.500 0.000 0.500
```

# 4
Material: CoTeRh4
Method: DFT, PBE-GGA
State: optimized geometry

Results
Raw formation energy = 2.72 eV/f.u.
Symmetry = No. 216
Total moment = 2.71 μB per formula unit

The structure in POSCAR format:
```
CoTeRh4
1.0
0.000 3.660 3.660
3.660 0.000 3.660
3.660 3.660 0.000
Co Te Rh
1 1 4
Direct
0.000 0.000 0.000
0.250 0.250 0.250
0.123 0.626 0.626
0.626 0.123 0.626
0.626 0.626 0.123
0.626 0.626 0.626
```

Q: What is the total moment in the third record?
A: 0.00 μB per formula unit